! CaAgAu2 (PBEsol, optimized geometry); values from VASP
&SYSTEM
  ibrav = 0, nat = 4, ntyp = 3
/
ATOMIC_SPECIES
Au 196.97 Au.upf
Ag 107.87 Ag.upf
Ca 40.08 Ca.upf
CELL_PARAMETERS angstrom
-2.0918 -3.6923 -2.1831
-0.2601 -4.2318 2.1906
-4.2070 -1.6239 1.5616
ATOMIC_POSITIONS angstrom
Au 0.0000 0.0000 0.0000
Ag -3.2795 -4.7740 0.7846
Ca -1.6398 -2.3870 0.3923
Au -4.9193 -7.1611 1.1768
! ΔE_f = -1.6 eV per formula unit
! crystal system = cubic

! CaAgAu2 (PBEsol, optimized geometry); values from VASP
&SYSTEM
  ibrav = 0, nat = 4, ntyp = 3
/
ATOMIC_SPECIES
Ca 40.08 Ca.upf
Au 196.97 Au.upf
Ag 107.87 Ag.upf
CELL_PARAMETERS angstrom
-2.4835 2.5071 2.3107
-2.8510 -3.1055 0.2603
4.5344 -1.1156 2.2525
ATOMIC_POSITIONS angstrom
Ca -1.2420 1.2538 1.1556
Au -1.7343 -1.0088 3.0528
Au -1.4255 -1.5521 0.1305
Ag 0.9338 -0.7062 1.7706
! ΔE_f = -1.8 eV per formula unit
! crystal system = orthorhombic

! CaAgAu2 (PBEsol, optimized geometry); values from VASP
&SYSTEM
  ibrav = 0, nat = 4, ntyp = 3
/
ATOMIC_SPECIES
Au 196.97 Au.upf
Ca 40.08 Ca.upf
Ag 107.87 Ag.upf
CELL_PARAMETERS angstrom
3.5346 0.0000 0.0000
0.0000 3.6106 0.0000
0.0000 0.0000 6.0756
ATOMIC_POSITIONS angstrom
Au 0.0000 0.0000 4.4313
Au 0.0000 0.0000 1.6442
Ca 1.7673 1.8053 0.0000
Ag 1.7673 1.8053 3.0378
! ΔE_f = -1.7 eV per formula unit
! crystal system = orthorhombic

! CaAg2Au2 (PBEsol, optimized geometry); values from VASP
&SYSTEM
  ibrav = 0, nat = 5, ntyp = 3
/
ATOMIC_SPECIES
Au 196.97 Au.upf
Ag 107.87 Ag.upf
Ca 40.08 Ca.upf
CELL_PARAMETERS angstrom
-2.3649 -3.1501 0.2137
2.5271 -1.7285 2.4876
-3.2396 5.1563 3.7459
ATOMIC_POSITIONS angstrom
Au -2.5210 2.1686 4.0678
Ag -0.3157 0.4943 3.7921
Ca 0.0000 0.0000 0.0000
Ag -2.7617 -0.2165 2.6551
Au -0.5565 -1.8908 2.3794
! ΔE_f = -1.7 eV per formula unit
! crystal system = tetragonal

! Ca2AgAu (PBEsol, optimized geometry); values from VASP
&SYSTEM
  ibrav = 0, nat = 4, ntyp = 3
/
ATOMIC_SPECIES
Ca 40.08 Ca.upf
Au 196.97 Au.upf
Ag 107.87 Ag.upf
CELL_PARAMETERS angstrom
-4.6245 -1.7011 1.2376
-1.0786 -1.1387 4.8323
-3.1649 2.9527 2.6600
ATOMIC_POSITIONS angstrom
Ca -2.2170 0.0282 2.1825
Au 0.0000 0.0000 0.0000
Ca -6.6510 0.0847 6.5474
Ag -4.4340 0.0564 4.3650
! ΔE_f = -2.1 eV per formula unit
! crystal system = cubic

! Ca2AgAu (PBEsol, optimized geometry); values from VASP
&SYSTEM
  ibrav = 0, nat = 4, ntyp = 3
/
ATOMIC_SPECIES
Ca 40.08 Ca.upf
Ag 107.87 Ag.upf
Au 196.97 Au.upf
CELL_PARAMETERS angstrom
-3.5054 0.7258 2.4659
-2.5442 -0.3849 -3.5035
2.6199 -4.8854 1.3309
ATOMIC_POSITIONS angstrom
Ca -1.9552 -1.9945 1.6390
Ag -3.0248 0.1705 -0.5188
Ca 0.0000 0.0000 0.0000
Au -1.4746 -2.5499 -1.3457
! ΔE_f = -1.6 eV per formula unit
! crystal system = tetragonal

! CdAgAu (PBEsol, optimized geometry); values from VASP
&SYSTEM
  ibrav = 0, nat = 3, ntyp = 3
/
ATOMIC_SPECIES
Au 196.97 Au.upf
Ag 107.87 Ag.upf
Cd 112.41 Cd.upf
CELL_PARAMETERS angstrom
2.9789 0.0000 0.0000
0.0000 4.0369 0.0000
-1.4895 -2.0185 4.3789
ATOMIC_POSITIONS angstrom
Au 1.4895 2.0185 1.4544
Ag 0.0000 0.0000 0.0078
Cd 0.0000 0.0000 2.9168
! ΔE_f = -0.4 eV per formula unit
! crystal system = orthorhombic

! CdAg2Au2 (PBEsol, optimized geometry); values from VASP
&SYSTEM
  ibrav = 0, nat = 10, ntyp = 3
/
ATOMIC_SPECIES
Ag 107.87 Ag.upf
Au 196.97 Au.upf
Cd 112.41 Cd.upf
CELL_PARAMETERS angstrom
-1.9006 0.8425 2.6968
0.2126 -6.9608 2.3244
6.0879 1.4658 3.8326
ATOMIC_POSITIONS angstrom
Ag 4.2873 -2.9654 6.0976
Au 0.9587 -4.2238 1.9952
Ag 3.1195 0.2594 4.2672
Ag 1.2804 -4.9120 4.5866
Cd 3.1503 -2.7475 3.0785
Au 4.0515 -5.0879 4.4447
Ag 0.1126 -1.6871 2.7561
Au 5.3418 -1.2712 4.1618
Au 2.2491 -0.4071 1.7123
Cd 0.0000 0.0000 0.0000
! ΔE_f = 0.0 eV per formula unit
! crystal system = tetragonal

! CdAgAu (PBEsol, optimized geometry); values from VASP
&SYSTEM
  ibrav = 0, nat = 3, ntyp = 3
/
ATOMIC_SPECIES
Au 196.97 Au.upf
Cd 112.41 Cd.upf
Ag 107.87 Ag.upf
CELL_PARAMETERS angstrom
2.8531 0.0000 0.0000
0.0000 4.6242 0.0000
0.0000 -2.3121 4.0046
ATOMIC_POSITIONS angstrom
Au 1.9211 0.0000 2.6698
Cd 0.9658 2.3121 1.3349
Ag 2.8192 0.0000 0.0000
! ΔE_f = -0.3 eV per formula unit
! crystal system = trigonal

! CdAg4Au (PBEsol, optimized geometry); values from VASP
&SYSTEM
  ibrav = 0, nat = 6, ntyp = 3
/
ATOMIC_SPECIES
Cd 112.41 Cd.upf
Ag 107.87 Ag.upf
Au 196.97 Au.upf
CELL_PARAMETERS angstrom
5.3481 0.0000 0.0000
2.6740 4.6316 0.0000
2.6740 1.5439 4.3667
ATOMIC_POSITIONS angstrom
Cd 0.0000 0.0000 0.0000
Ag 5.3481 3.0877 3.8204
Ag 4.0114 2.3160 1.6376
Ag 6.6847 2.3160 1.6376
Au 8.0221 4.6316 3.2750
Ag 5.3481 4.6311 1.6376
! ΔE_f = 0.7 eV per formula unit
! crystal system = cubic

! CdAgAu (PBEsol, optimized geometry); values from VASP
&SYSTEM
  ibrav = 0, nat = 3, ntyp = 3
/
ATOMIC_SPECIES
Ag 107.87 Ag.upf
Cd 112.41 Cd.upf
Au 196.97 Au.upf
CELL_PARAMETERS angstrom
-0.8675 0.2020 2.8360
-0.9088 -2.8292 -0.0764
6.3003 -0.4730 0.4029
ATOMIC_POSITIONS angstrom
Ag 0.0180 -0.0059 0.0059
Cd 3.6075 -1.1908 1.1883
Au 0.8986 -1.9034 1.9683
! ΔE_f = -0.3 eV per formula unit
! crystal system = tetragonal

! CdAgAu3 (PBEsol, optimized geometry); values from VASP
&SYSTEM
  ibrav = 0, nat = 5, ntyp = 3
/
ATOMIC_SPECIES
Ag 107.87 Ag.upf
Au 196.97 Au.upf
Cd 112.41 Cd.upf
CELL_PARAMETERS angstrom
4.9600 0.0000 0.0000
0.0000 4.9600 0.0000
0.0000 0.0000 4.9600
ATOMIC_POSITIONS angstrom
Ag 0.0000 0.0000 0.0000
Au 2.4800 0.0000 0.0000
Cd 2.4800 2.4800 2.4800
Au 0.0000 0.0000 2.4800
Au 0.0000 2.4800 0.0000
! ΔE_f = 4.0 eV per formula unit
! crystal system = cubic

! CdAg2AuI (PBEsol, optimized geometry); values from VASP
&SYSTEM
  ibrav = 0, nat = 5, ntyp = 4
/
ATOMIC_SPECIES
Ag 107.87 Ag.upf
Au 196.97 Au.upf
Cd 112.41 Cd.upf
I 126.90 I.upf
CELL_PARAMETERS angstrom
5.0151 0.0000 0.0000
0.0000 5.1973 0.0000
0.0000 0.0000 5.1973
ATOMIC_POSITIONS angstrom
Ag 0.0000 2.5987 0.0000
Au 2.5075 0.0000 0.0000
Ag 0.0000 0.0000 2.5987
Cd 0.0000 0.0000 0.0000
I 2.5075 2.5987 2.5987
! E_form (uncorrected) = 0.647 eV/atom
! crystal system = tetragonal

! CdAgRuAu2 (PBEsol, optimized geometry); values from VASP
&SYSTEM
  ibrav = 0, nat = 5, ntyp = 4
/
ATOMIC_SPECIES
Ru 101.07 Ru.upf
Ag 107.87 Ag.upf
Au 196.97 Au.upf
Cd 112.41 Cd.upf
CELL_PARAMETERS angstrom
-1.4229 -4.4177 1.5668
0.5707 -1.7885 -4.5245
4.7660 -1.1593 1.0594
ATOMIC_POSITIONS angstrom
Ru 0.0000 0.0000 0.0000
Ag 1.9569 -3.6828 -0.9491
Au 0.2854 -0.8943 -2.2623
Au -0.7114 -2.2089 0.7834
Cd 2.3830 -0.5796 0.5297
! ΔE_f = 5.7 eV per formula unit
! crystal system = tetragonal

! Ag4AuCl (PBEsol, optimized geometry); values from VASP
&SYSTEM
  ibrav = 0, nat = 6, ntyp = 3
/
ATOMIC_SPECIES
Ag 107.87 Ag.upf
Cl 35.45 Cl.upf
Au 196.97 Au.upf
CELL_PARAMETERS angstrom
-4.6238 -2.5762 -1.0595
-0.1002 -5.3935 -0.1995
-2.4830 -2.7992 3.8909
ATOMIC_POSITIONS angstrom
Ag -3.9429 -5.4377 2.9268
Ag -5.0097 -5.3266 0.4601
Cl 0.0000 0.0000 0.0000
Au -5.4053 -8.0766 1.9738
Ag -2.7058 -4.0430 0.9881
Ag -2.7557 -6.7304 0.8886
! E_form (uncorrected) = 0.287 eV/atom
! crystal system = cubic

! AgAuCl2 (PBEsol, optimized geometry); values from VASP
&SYSTEM
  ibrav = 0, nat = 8, ntyp = 3
/
ATOMIC_SPECIES
Ag 107.87 Ag.upf
Cl 35.45 Cl.upf
Au 196.97 Au.upf
CELL_PARAMETERS angstrom
5.1948 0.0000 0.0000
0.0000 5.1948 0.0000
-2.5974 -2.5974 7.0299
ATOMIC_POSITIONS angstrom
Ag 2.5974 0.0000 3.5150
Cl 1.2987 1.3238 5.2724
Au 0.0000 0.0000 0.0000
Ag 2.5974 2.5974 0.0000
Cl 3.9212 1.2987 1.7575
Au 0.0000 2.5974 3.5150
Cl -1.2987 -1.3238 5.2724
Cl 1.2736 3.8961 1.7575
! E_form (uncorrected) = -0.053 eV/atom
! crystal system = tetragonal

! AgAuCl2 (PBEsol, optimized geometry); values from VASP
&SYSTEM
  ibrav = 0, nat = 4, ntyp = 3
/
ATOMIC_SPECIES
Cl 35.45 Cl.upf
Au 196.97 Au.upf
Ag 107.87 Ag.upf
CELL_PARAMETERS angstrom
3.4743 0.0892 0.0000
-1.6170 3.0763 0.0000
0.0000 0.0000 7.8719
ATOMIC_POSITIONS angstrom
Cl 0.9286 1.5827 5.4419
Au 0.9286 1.5827 2.0254
Cl 0.0000 0.0000 0.4546
Ag 0.0000 0.0000 3.8860
! E_form (uncorrected) = -0.112 eV/atom
! crystal system = orthorhombic

! AgAuCl2 (PBEsol, optimized geometry); values from VASP
&SYSTEM
  ibrav = 0, nat = 4, ntyp = 3
/
ATOMIC_SPECIES
Ag 107.87 Ag.upf
Au 196.97 Au.upf
Cl 35.45 Cl.upf
CELL_PARAMETERS angstrom
3.5125 0.0000 0.0000
0.0000 3.5125 0.0000
0.0000 0.0000 6.5543
ATOMIC_POSITIONS angstrom
Ag 0.0000 0.0000 3.3845
Au 1.7563 1.7563 4.7381
Cl 0.0000 0.0000 6.0922
Cl 1.7563 1.7563 2.1709
! E_form (uncorrected) = -0.067 eV/atom
! crystal system = tetragonal

! AgAuCl2 (PBEsol, optimized geometry); values from VASP
&SYSTEM
  ibrav = 0, nat = 4, ntyp = 3
/
ATOMIC_SPECIES
Cl 35.45 Cl.upf
Ag 107.87 Ag.upf
Au 196.97 Au.upf
CELL_PARAMETERS angstrom
3.8765 0.0000 0.0000
1.9383 3.3572 0.0000
1.9383 1.1191 7.4501
ATOMIC_POSITIONS angstrom
Cl 1.9383 1.1191 5.1854
Cl 5.8148 3.3572 2.2647
Ag 3.8765 2.2381 3.7251
Au 0.0000 0.0000 0.0000
! E_form (uncorrected) = -0.210 eV/atom
! crystal system = trigonal

! AgAuCl2 (PBEsol, optimized geometry); values from VASP
&SYSTEM
  ibrav = 0, nat = 4, ntyp = 3
/
ATOMIC_SPECIES
Cl 35.45 Cl.upf
Au 196.97 Au.upf
Ag 107.87 Ag.upf
CELL_PARAMETERS angstrom
-2.7190 -0.3549 -2.5452
2.6597 -0.0604 -2.8330
0.1528 -5.4698 0.5996
ATOMIC_POSITIONS angstrom
Cl 0.0467 -2.9425 -2.3893
Au 0.0764 -2.7349 0.2998
Ag -0.0297 -0.2077 -2.6891
Cl 0.0000 0.0000 0.0000
! E_form (uncorrected) = -0.056 eV/atom
! crystal system = monoclinic

! AgAuCl2 (PBEsol, optimized geometry); values from VASP
&SYSTEM
  ibrav = 0, nat = 4, ntyp = 3
/
ATOMIC_SPECIES
Cl 35.45 Cl.upf
Ag 107.87 Ag.upf
Au 196.97 Au.upf
CELL_PARAMETERS angstrom
3.6979 0.0000 0.0000
-1.8489 5.7358 0.1361
0.0000 -0.4132 4.5198
ATOMIC_POSITIONS angstrom
Cl 1.8489 1.4853 3.2595
Cl 0.0000 3.8374 1.3965
Ag 0.0000 -0.2066 2.2599
Au 1.8489 0.0000 0.0000
! E_form (uncorrected) = -0.241 eV/atom
! crystal system = monoclinic

! K2AgAuCl6 (PBEsol, optimized geometry); values from VASP
&SYSTEM
  ibrav = 0, nat = 10, ntyp = 4
/
ATOMIC_SPECIES
K 39.10 K.upf
Cl 35.45 Cl.upf
Ag 107.87 Ag.upf
Au 196.97 Au.upf
CELL_PARAMETERS angstrom
7.0844 0.0000 0.0000
3.5422 6.1353 0.0000
3.5422 2.0451 5.7844
ATOMIC_POSITIONS angstrom
K 10.6266 6.1353 4.3383
Cl 7.0844 2.0315 1.4365
Ag 7.0844 4.0902 2.8922
Cl 7.0844 6.1489 4.3479
K 3.5422 2.0451 1.4461
Cl 8.8673 5.1195 1.4365
Cl 5.3015 5.1195 1.4365
Cl 8.8673 3.0608 4.3479
Au 0.0000 0.0000 0.0000
Cl 5.3015 3.0608 4.3479
! E_form (uncorrected) = -0.992 eV/atom
! crystal system = cubic

! AgAuNCl2 (PBEsol, optimized geometry); values from VASP
&SYSTEM
  ibrav = 0, nat = 5, ntyp = 4
/
ATOMIC_SPECIES
Ag 107.87 Ag.upf
N 14.01 N.upf
Cl 35.45 Cl.upf
Au 196.97 Au.upf
CELL_PARAMETERS angstrom
-2.2717 4.2427 0.4275
-1.8627 -0.5516 -4.4237
-4.1427 -2.4244 2.0467
ATOMIC_POSITIONS angstrom
Ag 0.0000 0.0000 0.0000
N -4.1386 0.6333 -0.9747
Cl -1.1358 2.1213 0.2138
Au -2.0713 -1.2122 1.0233
Cl -0.9314 -0.2758 -2.2119
! E_form (uncorrected) = 1.290 eV/atom
! crystal system = tetragonal

! AgP2AuCl (PBEsol, optimized geometry); values from VASP
&SYSTEM
  ibrav = 0, nat = 5, ntyp = 4
/
ATOMIC_SPECIES
P 30.97 P.upf
Au 196.97 Au.upf
Cl 35.45 Cl.upf
Ag 107.87 Ag.upf
CELL_PARAMETERS angstrom
-4.1413 -0.5903 2.2508
2.2705 -0.0189 4.1725
-0.5093 4.7106 0.2985
ATOMIC_POSITIONS angstrom
P -2.0707 -0.2952 1.1254
Au -1.1901 2.0507 3.3609
P 1.1352 -0.0095 2.0863
Cl -0.2546 2.3553 0.1492
Ag 0.0000 0.0000 0.0000
! E_form (uncorrected) = 1.079 eV/atom
! crystal system = tetragonal

! AgPdAu2Cl (PBEsol, optimized geometry); values from VASP
&SYSTEM
  ibrav = 0, nat = 5, ntyp = 4
/
ATOMIC_SPECIES
Au 196.97 Au.upf
Ag 107.87 Ag.upf
Pd 106.42 Pd.upf
Cl 35.45 Cl.upf
CELL_PARAMETERS angstrom
-3.0533 2.6847 -1.7858
0.1700 -2.6553 -4.2826
-3.6569 -3.0130 1.7229
ATOMIC_POSITIONS angstrom
Au -1.8285 -1.5065 0.8615
Ag -3.2701 -1.4917 -2.1727
Pd 0.0000 0.0000 0.0000
Au 0.0850 -1.3276 -2.1413
Cl -1.5267 1.3424 -0.8929
! E_form (uncorrected) = 0.607 eV/atom
! crystal system = tetragonal

! Rb2AgAuCl6 (PBEsol, optimized geometry); values from VASP
&SYSTEM
  ibrav = 0, nat = 10, ntyp = 4
/
ATOMIC_SPECIES
Rb 85.47 Rb.upf
Cl 35.45 Cl.upf
Au 196.97 Au.upf
Ag 107.87 Ag.upf
CELL_PARAMETERS angstrom
7.1170 0.0000 0.0000
3.5585 6.1635 0.0000
3.5585 2.0545 5.8110
ATOMIC_POSITIONS angstrom
Rb 3.5585 2.0545 1.4528
Rb 10.6755 6.1635 4.3583
Cl 7.1170 6.1789 4.3691
Cl 5.3244 5.1440 1.4419
Au 0.0000 0.0000 0.0000
Cl 8.9096 5.1440 1.4419
Cl 5.3244 3.0741 4.3691
Cl 7.1170 2.0391 1.4419
Ag 7.1170 4.1090 2.9055
Cl 8.9096 3.0741 4.3691
! E_form (uncorrected) = -1.023 eV/atom
! crystal system = cubic

! SrAgAuCl2 (PBEsol, optimized geometry); values from VASP
&SYSTEM
  ibrav = 0, nat = 5, ntyp = 4
/
ATOMIC_SPECIES
Cl 35.45 Cl.upf
Au 196.97 Au.upf
Ag 107.87 Ag.upf
Sr 87.62 Sr.upf
CELL_PARAMETERS angstrom
4.8292 0.0000 0.0000
0.0000 4.8292 0.0000
0.0000 0.0000 6.1167
ATOMIC_POSITIONS angstrom
Cl 0.0000 2.4146 0.0000
Au 2.4146 2.4146 3.0584
Ag 0.0000 0.0000 0.0000
Sr 0.0000 0.0000 3.0584
Cl 2.4146 0.0000 0.0000
! E_form (uncorrected) = -0.398 eV/atom
! crystal system = tetragonal

! CoAgAu (PBEsol, optimized geometry); values from VASP
&SYSTEM
  ibrav = 0, nat = 3, ntyp = 3
/
ATOMIC_SPECIES
Ag 107.87 Ag.upf
Co 58.93 Co.upf
Au 196.97 Au.upf
CELL_PARAMETERS angstrom
-2.5661 0.2531 -0.7861
-0.1817 -4.3050 -0.7929
-1.0608 1.5447 3.9602
ATOMIC_POSITIONS angstrom
Ag -0.0533 0.0053 -0.0163
Co -1.4029 -2.2636 0.5071
Au -2.3524 -0.2489 1.8904
! ΔE_f = 1.1 eV per formula unit
! crystal system = trigonal

! CoAg3Au (PBEsol, optimized geometry); values from VASP
&SYSTEM
  ibrav = 0, nat = 5, ntyp = 3
/
ATOMIC_SPECIES
Ag 107.87 Ag.upf
Au 196.97 Au.upf
Co 58.93 Co.upf
CELL_PARAMETERS angstrom
-2.4586 1.8090 -3.4728
2.2648 -2.6881 -3.0037
-3.1942 -3.2984 0.5433
ATOMIC_POSITIONS angstrom
Ag -1.2293 0.9045 -1.7364
Ag -1.5971 -1.6492 0.2716
Au -1.6940 -2.0887 -2.9666
Ag 1.1324 -1.3440 -1.5018
Co 0.0000 0.0000 0.0000
! ΔE_f = 5.5 eV per formula unit
! crystal system = cubic

no.,V (A^3/atom),spin magnetization (μB per cell)
1,19.21,0.0
2,18.90,0.0
3,19.38,0.0
4,20.49,0.0
5,23.18,0.0
6,22.68,0.0
7,17.55,0.0
8,18.35,0.0
9,17.61,0.0
10,18.03,0.0
11,17.59,0.0
12,24.40,0.0
13,27.09,0.0
14,24.08,1.5
15,18.54,0.0
16,23.71,0.0
17,21.32,0.0
18,20.22,0.0
19,24.24,0.0
20,19.99,0.0
21,24.02,0.0
22,25.14,0.0
23,24.36,2.9
24,21.43,0.8
25,22.58,0.0
26,25.49,0.0
27,28.53,0.0
28,14.94,1.8
29,19.77,1.9